Entry 1:
# Hf5Sb2

Hf5Sb2 after structural relaxation (GGA-PBE, Alexandria). Values from VASP.

Geometry as Quantum ESPRESSO input:
```
&SYSTEM
  ibrav = 0, nat = 14, ntyp = 2
/
ATOMIC_SPECIES
Hf 178.49 Hf.upf
Sb 121.76 Sb.upf
ATOMIC_POSITIONS crystal
Hf 0.268 0.447 0.222
Hf 0.699 0.250 0.000
Hf 0.953 0.947 0.222
Sb 0.419 0.083 0.192
Sb 0.773 0.583 0.192
Sb 0.581 0.917 0.808
Hf 0.166 0.697 0.551
Hf 0.301 0.750 0.000
Sb 0.227 0.417 0.808
Hf 0.385 0.197 0.551
Hf 0.615 0.803 0.449
Hf 0.732 0.553 0.778
Hf 0.834 0.303 0.449
Hf 0.047 0.053 0.778
CELL_PARAMETERS angstrom
5.667 0.000 0.000
0.000 7.799 0.390
-2.833 -0.780 7.066
```

The calculation puts the calculated total energy at -8.55 eV per atom. The energy relative to the elements, uncorrected comes out at -266 meV per atom. For the magnetization, the calculation gives 0.0000 μB/atom. Its mass density is 12.0 g cm⁻³.

---

Entry 2:
# Hf3Sb

Hf3Sb after structural relaxation (GGA-PBE, Alexandria). Values from VASP.

Geometry as Quantum ESPRESSO input:
```
&SYSTEM
  ibrav = 0, nat = 8, ntyp = 2
/
ATOMIC_SPECIES
Hf 178.49 Hf.upf
Sb 121.76 Sb.upf
ATOMIC_POSITIONS crystal
Hf 0.750 0.062 0.875
Hf 0.250 0.938 0.125
Sb 0.250 0.247 0.673
Sb 0.750 0.753 0.327
Hf 0.750 0.594 0.881
Hf 0.750 0.297 0.395
Hf 0.250 0.406 0.119
Hf 0.250 0.703 0.605
CELL_PARAMETERS angstrom
-2.261 -1.671 2.659
0.182 -5.569 -3.345
5.737 0.204 5.007
```

The calculation puts the calculated total energy at -8.79 eV per atom. The energy relative to the elements, uncorrected comes out at -291 meV per atom. For the magnetization, the calculation gives 0.0000 μB/atom. Its mass density is 12.1 g cm⁻³.

---

Entry 3:
# HfSb

HfSb after structural relaxation (GGA-PBE, Alexandria). Values from VASP.

Geometry as Quantum ESPRESSO input:
```
&SYSTEM
  ibrav = 0, nat = 8, ntyp = 2
/
ATOMIC_SPECIES
Sb 121.76 Sb.upf
Hf 178.49 Hf.upf
ATOMIC_POSITIONS crystal
Sb 0.750 0.750 0.250
Sb 0.250 0.750 0.750
Sb 0.250 0.250 0.250
Hf 0.000 0.500 0.500
Hf 0.500 0.000 0.500
Hf 0.000 0.000 0.000
Hf 0.500 0.500 0.000
Sb 0.750 0.250 0.750
CELL_PARAMETERS angstrom
-2.901 -5.763 0.654
5.723 -2.963 -0.722
0.940 0.254 6.412
```

The calculation puts the calculated total energy at -6.75 eV per atom. The energy relative to the elements, uncorrected comes out at 290 meV per atom. For the magnetization, the calculation gives 0.0000 μB/atom. Its mass density is 7.3 g cm⁻³.

---

Entry 4:
# Hf3Sb

Hf3Sb after structural relaxation (GGA-PBE, Alexandria). Values from VASP.

Geometry as Quantum ESPRESSO input:
```
&SYSTEM
  ibrav = 0, nat = 4, ntyp = 2
/
ATOMIC_SPECIES
Hf 178.49 Hf.upf
Sb 121.76 Sb.upf
ATOMIC_POSITIONS crystal
Hf 0.000 0.500 0.583
Hf 0.500 0.000 0.583
Sb 0.000 0.000 0.083
Hf 0.500 0.500 0.083
CELL_PARAMETERS angstrom
-1.312 1.428 -3.966
-1.162 -4.116 -1.097
-4.062 0.719 1.603
```

The calculation puts the calculated total energy at -8.76 eV per atom. The energy relative to the elements, uncorrected comes out at -266 meV per atom. For the magnetization, the calculation gives 0.0000 μB/atom. Its mass density is 12.6 g cm⁻³.

---

Entry 5:
# HfSb4

HfSb4 after structural relaxation (GGA-PBE, Alexandria). Values from VASP.

Geometry as Quantum ESPRESSO input:
```
&SYSTEM
  ibrav = 0, nat = 5, ntyp = 2
/
ATOMIC_SPECIES
Sb 121.76 Sb.upf
Hf 178.49 Hf.upf
ATOMIC_POSITIONS crystal
Sb 0.000 0.000 0.000
Hf 0.500 0.500 0.500
Sb 0.000 0.500 0.500
Sb 0.500 0.000 0.500
Sb 0.500 0.500 0.000
CELL_PARAMETERS angstrom
-0.425 -0.014 -5.484
-4.241 -3.486 0.337
-3.476 4.255 0.258
```

The calculation puts the calculated total energy at -4.87 eV per atom. The energy relative to the elements, uncorrected comes out at 423 meV per atom. For the magnetization, the calculation gives 0.0000 μB/atom. Its mass density is 6.6 g cm⁻³.

---

Entry 6:
# HfSb

HfSb after structural relaxation (GGA-PBE, Alexandria). Values from VASP.

Geometry as Quantum ESPRESSO input:
```
&SYSTEM
  ibrav = 0, nat = 12, ntyp = 2
/
ATOMIC_SPECIES
Sb 121.76 Sb.upf
Hf 178.49 Hf.upf
ATOMIC_POSITIONS crystal
Sb 0.638 0.914 0.250
Sb 0.086 0.724 0.250
Hf 0.416 0.095 0.250
Hf 0.095 0.679 0.750
Hf 0.584 0.905 0.750
Sb 0.914 0.276 0.750
Sb 0.362 0.086 0.750
Hf 0.321 0.416 0.750
Sb 0.276 0.362 0.250
Hf 0.905 0.321 0.250
Hf 0.679 0.584 0.250
Sb 0.724 0.638 0.750
CELL_PARAMETERS angstrom
8.157 0.000 0.000
-4.078 7.064 0.000
0.000 0.000 5.713
```

The calculation puts the calculated total energy at -7.21 eV per atom. The energy relative to the elements, uncorrected comes out at -168 meV per atom. For the magnetization, the calculation gives 0.0000 μB/atom. Its mass density is 9.1 g cm⁻³.

---

Entry 7:
# HfSb

HfSb after structural relaxation (GGA-PBE, Alexandria). Values from VASP.

Geometry as Quantum ESPRESSO input:
```
&SYSTEM
  ibrav = 0, nat = 8, ntyp = 2
/
ATOMIC_SPECIES
Sb 121.76 Sb.upf
Hf 178.49 Hf.upf
ATOMIC_POSITIONS crystal
Sb 0.344 0.656 0.156
Sb 0.844 0.844 0.844
Hf 0.644 0.356 0.856
Sb 0.656 0.156 0.344
Hf 0.856 0.644 0.356
Hf 0.356 0.856 0.644
Sb 0.156 0.344 0.656
Hf 0.144 0.144 0.144
CELL_PARAMETERS angstrom
-5.203 0.985 -1.910
1.601 -1.563 -5.166
-1.434 -5.318 1.165
```

The calculation puts the calculated total energy at -7.59 eV per atom. The energy relative to the elements, uncorrected comes out at -548 meV per atom. For the magnetization, the calculation gives 0.0000 μB/atom. Its mass density is 11.2 g cm⁻³.

---

Entry 8:
# HfScSb

HfScSb after structural relaxation (GGA-PBE, Alexandria). Values from VASP.

Geometry as Quantum ESPRESSO input:
```
&SYSTEM
  ibrav = 0, nat = 3, ntyp = 3
/
ATOMIC_SPECIES
Hf 178.49 Hf.upf
Sb 121.76 Sb.upf
Sc 44.96 Sc.upf
ATOMIC_POSITIONS crystal
Hf 0.622 0.622 0.244
Sb 0.281 0.281 0.563
Sc 0.947 0.947 0.894
CELL_PARAMETERS angstrom
-2.369 2.466 1.394
-2.356 -2.724 0.817
4.440 -0.353 3.277
```

The calculation puts the calculated total energy at -7.31 eV per atom. The energy relative to the elements, uncorrected comes out at -504 meV per atom. For the magnetization, the calculation gives 0.0000 μB/atom. Its mass density is 8.6 g cm⁻³.